w | A plane-wave DFT calculation with GGA-PBE was carried out for an optimized crystal structure of CsB3S.

```
CsB3S
1.0
5.110 0.000 0.000
0.000 5.110 0.000
0.000 0.000 5.110
B Cs S
3 1 1
Cartesian
0.000 0.000 2.555 B
2.555 0.000 0.000 B
0.000 2.555 0.000 B
0.000 0.000 0.000 Cs
2.555 2.555 2.555 S
```

x | A plane-wave DFT calculation with GGA-PBE was carried out for an optimized crystal structure of CsB3S.

```
CsB3S
1.0
-1.387 -4.083 -0.465
3.312 -0.820 -2.678
2.433 -1.211 3.381
Cs B S
1 3 1
Cartesian
2.179 -3.058 0.119 Cs
1.216 -0.606 1.690 B
1.656 -0.410 -1.339 B
-0.694 -2.042 -0.232 B
0.000 0.000 0.000 S
```

Tell me which of them is the most stable. Sure, it is x.

w | A plane-wave DFT calculation with GGA-PBE was carried out for an optimized crystal structure of Cs2BS.

```
Cs2BS
1.0
0.000 4.138 4.138
4.138 0.000 4.138
4.138 4.138 0.000
B Cs S
1 2 1
Cartesian
0.000 0.000 0.000 B
2.069 2.069 2.069 Cs
6.208 6.208 6.208 Cs
4.138 4.138 4.138 S
```

x | A plane-wave DFT calculation with GGA-PBE was carried out for an optimized crystal structure of Cs2BS.

```
Cs2BS
1.0
0.087 0.265 7.586
-6.106 1.808 -4.131
0.965 -7.382 -1.483
Cs S B
4 2 2
Cartesian
-4.760 -2.041 2.422 Cs
-3.924 1.035 -1.763 Cs
-1.799 -2.750 0.414 Cs
0.374 -6.862 2.871 Cs
0.000 0.000 0.000 S
-4.075 -2.269 -1.943 S
-3.010 1.036 1.727 B
-0.979 -3.040 3.915 B
```

Tell me which of them is the most stable. Sure, it is w.

w | A plane-wave DFT calculation with GGA-PBE was carried out for an optimized crystal structure of CsBSb3.

```
CsBSb3
1.0
-0.779 -2.529 4.471
5.130 -0.617 0.545
0.266 4.496 2.589
Sb B Cs
3 1 1
Cartesian
0.133 2.248 1.295 Sb
2.565 -0.308 0.272 Sb
-0.389 -1.264 2.236 Sb
0.000 0.000 0.000 B
2.308 0.675 3.803 Cs
```

x | A plane-wave DFT calculation with GGA-PBE was carried out for an optimized crystal structure of CsBSb3.

```
CsBSb3
1.0
-5.389 3.085 0.052
-0.414 -0.620 -6.165
-3.058 -5.353 0.743
Cs Sb B
1 3 1
Cartesian
0.000 0.000 0.000 Cs
-1.529 -2.677 0.372 Sb
-2.694 1.542 0.026 Sb
-0.207 -0.310 -3.082 Sb
-4.430 -1.444 -2.685 B
```

Tell me which of them is the most stable. Sure, it is w.

w | A plane-wave DFT calculation with GGA-PBE was carried out for an optimized crystal structure of CsBSb2Te.

```
CsBSb2Te
1.0
5.127 0.000 0.000
0.000 5.127 0.000
0.000 0.000 5.410
B Sb Te Cs
1 2 1 1
Cartesian
0.000 0.000 0.000 B
0.000 2.564 0.000 Sb
2.564 0.000 0.000 Sb
0.000 0.000 2.705 Te
2.564 2.564 2.705 Cs
```

x | A plane-wave DFT calculation with GGA-PBE was carried out for an optimized crystal structure of CsBSb2Te.

```
CsBSb2Te
1.0
6.320 0.000 0.000
0.000 6.320 0.000
0.000 0.000 6.457
Te Sb B Cs
1 2 1 1
Cartesian
0.000 0.000 3.229 Te
3.160 0.000 0.000 Sb
0.000 3.160 0.000 Sb
3.160 3.160 3.229 B
0.000 0.000 0.000 Cs
```

Tell me which of them is the most stable. Sure, it is w.

w | A plane-wave DFT calculation with GGA-PBE was carried out for an optimized crystal structure of CsBSbTe2.

```
CsBSbTe2
1.0
-0.591 3.991 -5.237
4.654 -3.467 -3.167
-4.570 -3.895 -2.453
Te Cs B Sb
2 1 1 1
Cartesian
-0.295 1.996 -2.619 Te
2.327 -1.733 -1.583 Te
0.000 0.000 0.000 Cs
-0.253 -1.685 -5.428 B
-2.285 -1.947 -1.226 Sb
```

x | A plane-wave DFT calculation with GGA-PBE was carried out for an optimized crystal structure of CsBSbTe2.

```
CsBSbTe2
1.0
5.498 0.000 0.000
0.000 5.498 0.000
0.000 0.000 4.826
Cs B Te Sb
1 1 2 1
Cartesian
2.749 2.749 2.413 Cs
0.000 0.000 0.000 B
0.000 2.749 0.000 Te
2.749 0.000 0.000 Te
0.000 0.000 2.413 Sb
```

Tell me which of them is the most stable. Sure, it is x.

w | A plane-wave DFT calculation with GGA-PBE was carried out for an optimized crystal structure of CsB3Se.

```
CsB3Se
1.0
4.606 0.000 0.000
0.000 4.606 0.000
0.000 0.000 4.606
B Se Cs
3 1 1
Cartesian
0.000 0.000 2.303 B
2.303 0.000 0.000 B
0.000 2.303 0.000 B
0.000 0.000 0.000 Se
2.303 2.303 2.303 Cs
```

x | A plane-wave DFT calculation with GGA-PBE was carried out for an optimized crystal structure of CsB3Se.

```
CsB3Se
1.0
5.085 0.000 0.000
0.000 5.085 0.000
0.000 0.000 5.085
Cs B Se
1 3 1
Cartesian
0.000 0.000 0.000 Cs
2.542 0.000 0.000 B
0.000 0.000 2.542 B
0.000 2.542 0.000 B
2.542 2.542 2.542 Se
```

Tell me which of them is the most stable. Sure, it is w.